Compound: Pr2Ni3
Source: Alexandria via LeMat-Bulk
Functional: PBE
Structure: relaxed

a b c (Å): 4.017 24.937 4.072
angles (deg): 90.00 90.00 90.00
Space group Cmcm (No. 63)
One atom of each set of equivalent atoms:
Pr: 0.000 0.069 0.250 (multiplicity 4)
Pr: 0.000 0.201 0.750 (multiplicity 4)
Ni: 0.000 0.330 0.750 (multiplicity 4)
Ni: 0.000 0.383 0.250 (multiplicity 4)
Ni: 0.000 0.476 0.250 (multiplicity 4)

DOS at the Fermi energy, states/eV/f.u.: 5.10
Final energy, eV/f.u.: -28.37
M_tot, μB per atom: 0.0000
Formation energy from the elements, meV/atom: -293.7

=====

Compound: Sc2TaRe
Source: Alexandria via LeMat-Bulk
Functional: PBE
Structure: relaxed

a b c (Å): 2.819 4.726 5.578
angles (deg): 90.00 90.00 90.00
Space group Pmmm (No. 47)
One atom of each set of equivalent atoms:
Sc: 0.000 0.000 0.242 (multiplicity 2)
Ta: 0.500 0.500 0.500 (multiplicity 1)
Re: 0.500 0.500 0.000 (multiplicity 1)

Polymorph energy (0 for the lowest one), eV/f.u.: 1.026
DOS at the Fermi energy, states/eV/f.u.: 4.37
Final energy, eV/f.u.: -36.38
M_tot, μB per atom: 0.0000
Formation energy from the elements, meV/atom: 144.9

=====

Compound: ErAlPb
Source: Alexandria via LeMat-Bulk
Functional: PBE
Structure: relaxed

a b c (Å): 4.8043 4.8043 3.7349
angles (deg): 90.00 90.00 120.00
Space group P3m1 (No. 156)
One atom of each set of equivalent atoms:
Er: 0.0000 0.0000 0.0000 (multiplicity 1)
Al: 0.3333 0.6667 0.5971 (multiplicity 1)
Pb: 0.6667 0.3333 0.4331 (multiplicity 1)

DOS at the Fermi energy, states/eV/f.u.: 1.47
Final energy, eV/f.u.: -12.46
M_tot, μB per atom: 0.0000
Formation energy from the elements, meV/atom: -149.0

=====

Compound: PmNi2SbH
Source: Alexandria via LeMat-Bulk
Functional: PBE
Structure: relaxed

a b c (Å): 4.164 10.994 6.774
angles (deg): 90.00 90.00 90.00
Space group Cmcm (No. 63)
One atom of each set of equivalent atoms:
Pm: 0.000 0.072 0.250 (multiplicity 4)
Ni: 0.000 0.356 0.059 (multiplicity 8)
Sb: 0.000 0.214 0.750 (multiplicity 4)
H: 0.000 0.500 0.000 (multiplicity 4)

DOS at the Fermi energy, states/eV/f.u.: 1.91
Final energy, eV/f.u.: -26.54
M_tot, μB per atom: 0.0000